The following is a DFT calculation (PBE) of a relaxed structure of ScCrMoN2.

Unit cell a=4.0001 b=4.0001 c=4.7269 alpha=90.00 beta=90.00 gamma=90.00
Closest atoms and distances in Å follow each position.
Element x y z (fractional)
Sc  0.0000  0.0000  0.0000  4 Cr 2.83, 8 N 3.10
Cr  0.5000  0.5000  0.0000  2 Mo 2.36
Mo  0.5000  0.5000  0.5000  4 N 2.00
N  0.0000  0.5000  0.5000  2 Mo 2.00
N  0.5000  0.0000  0.5000  2 Mo 2.00

Results
**E_form (uncorrected)**: 3.085 eV/f.u.

The following is a DFT calculation (PBE) of a relaxed structure of LaAlF.

Unit cell a=8.5351 b=8.5351 c=8.5351 alpha=29.15 beta=29.15 gamma=29.15
Closest atoms and distances in Å follow each position.
Element x y z (fractional)
La  0.0937  0.0937  0.0937  4 F 2.49-2.71
La  0.9063  0.9063  0.9063  4 F 2.49-2.71
Al  0.3455  0.3455  0.3455  3 Al 2.55
Al  0.6545  0.6545  0.6545  3 Al 2.55
F  0.1952  0.1952  0.1952  4 La 2.49-2.71
F  0.8048  0.8048  0.8048  4 La 2.49-2.71

Results
**E above lowest polymorph**: 0.000 eV per formula unit
**E_form (uncorrected)**: -6.033 eV/f.u.

The following is a DFT calculation (PBE) of a relaxed structure of LaZn2W.

Unit cell a=10.2342 b=10.2342 c=10.2342 alpha=16.73 beta=16.73 gamma=16.73
Closest atoms and distances in Å follow each position.
Element x y z (fractional)
La  0.0000  0.0000  0.0000  6 La 2.98
Zn  0.5003  0.5003  0.5003  3 W 2.77, 9 Zn 2.78-2.98
Zn  0.7614  0.7614  0.7614  9 Zn 2.78-2.98
W  0.2387  0.2387  0.2387  3 Zn 2.77, 6 W 2.98

Results
**Formation energy**: 0.4982 eV per atom
**E above lowest polymorph**: 1.017 eV per formula unit